(1)
VASP calculation (PBE) on a geometry-optimized NaZnPO2 structure.

Cell lengths 4.067, 4.067, 5.376 Å; angles 90.00, 90.00, 90.00 degrees
Space group P4/mmm (No. 123)
Inequivalent atoms, fractional coordinates:
Na: 0.000 0.000 0.000 (multiplicity 1)
Zn: 0.500 0.500 0.500 (multiplicity 1)
P: 0.000 0.000 0.500 (multiplicity 1)
O: 0.000 0.500 0.000 (multiplicity 2)

Properties
**Energy relative to the lowest polymorph listed for this composition**: 722.9 meV/atom
**Crystal system**: tetragonal

***

(2)
VASP calculation (PBE) on a geometry-optimized Na2ZnP2O6 structure.

Cell lengths 5.3589, 5.3589, 6.0430 Å; angles 90.00, 90.00, 120.00 degrees
Space group P-3 (No. 147)
Inequivalent atoms, fractional coordinates:
Na: 0.3333 0.6667 0.3577 (multiplicity 2)
Zn: 0.0000 0.0000 0.0000 (multiplicity 1)
P: 0.3333 0.6667 0.8613 (multiplicity 2)
O: 0.0985 0.7370 0.7816 (multiplicity 6)

Properties
**Crystal system**: trigonal

***

no.,total moment (μB per atom),raw total energy (eV per atom)
1,0.692,-2.8054
2,0.182,-5.7473